Entry 1:
The following is a DFT calculation (meta-GGA SCAN) of a PBEsol-optimized structure of SbMo3.

Results
DOS(E_F) in states/eV per cell: 2.96
Magnetization in μB per atom: 0.0000
ΔE_f (raw) in meV/atom: 305
Calculated total energy in eV per cell: -140.70
Space-group type: Pmmm (47)

a b c (Å): 3.035 4.139 5.343
angles (deg): 90.00 90.00 90.00
Element x y z (fractional)
Sb 0.000 0.000 0.000
Mo 0.000 0.000 0.500
Mo 0.500 0.500 0.277
Mo 0.500 0.500 0.723

=====

Entry 2:
The following is a DFT calculation (meta-GGA SCAN) of a PBEsol-optimized structure of Sb7Mo3.

Results
DOS(E_F) in states/eV per cell: 22.80
Magnetization in μB per atom: 0.0000
ΔE_f (raw) in meV/atom: -11
Calculated total energy in eV per cell: -731.19
Space-group type: Im-3m (229)

a b c (Å): 8.257 8.257 8.257
angles (deg): 109.47 109.47 109.47
Element x y z (fractional)
Sb 0.000 0.000 0.322
Sb 0.000 0.000 0.678
Sb 0.000 0.322 0.000
Sb 0.000 0.678 0.000
Sb 0.250 0.500 0.750
Sb 0.250 0.750 0.500
Sb 0.322 0.000 0.000
Sb 0.322 0.322 0.322
Sb 0.500 0.250 0.750
Sb 0.500 0.750 0.250
Sb 0.678 0.000 0.000
Sb 0.678 0.678 0.678
Sb 0.750 0.250 0.500
Sb 0.750 0.500 0.250
Mo 0.000 0.343 0.343
Mo 0.000 0.657 0.657
Mo 0.343 0.000 0.343
Mo 0.343 0.343 0.000
Mo 0.657 0.000 0.657
Mo 0.657 0.657 0.000

=====

Entry 3:
The following is a DFT calculation (meta-GGA SCAN) of a PBEsol-optimized structure of Sb5Mo.

Results
DOS(E_F) in states/eV per cell: 4.47
Magnetization in μB per atom: 0.6479
ΔE_f (raw) in meV/atom: 930
Calculated total energy in eV per cell: -215.61
Space-group type: F-43m (216)

a b c (Å): 6.046 6.046 6.046
angles (deg): 60.00 60.00 60.00
Element x y z (fractional)
Sb 0.000 0.000 0.000
Sb 0.375 0.375 0.375
Sb 0.375 0.375 0.875
Sb 0.375 0.875 0.375
Sb 0.875 0.375 0.375
Mo 0.750 0.750 0.750